# 1
First-principles (PBE) data for UGa6Cu12 after structural relaxation, as listed in Alexandria via LeMat-Bulk.

```
data_UGa6Cu12
_cell_length_a 6.825
_cell_length_b 6.825
_cell_length_c 6.825
_cell_angle_alpha 103.97
_cell_angle_beta 103.97
_cell_angle_gamma 103.97
_symmetry_space_group_name_H-M 'P 1'
_symmetry_Int_Tables_number 1
_symmetry_space_group_name_Hall 'P 1'
loop_
_atom_site_label
_atom_site_type_symbol
_atom_site_fract_x
_atom_site_fract_y
_atom_site_fract_z
U1 U 0.000 0.000 0.000
Ga1 Ga 0.705 0.278 0.278
Ga2 Ga 0.278 0.278 0.705
Ga3 Ga 0.278 0.705 0.278
Ga4 Ga 0.722 0.722 0.295
Ga5 Ga 0.295 0.722 0.722
Ga6 Ga 0.722 0.295 0.722
Cu1 Cu 0.889 0.111 0.500
Cu2 Cu 0.869 0.620 0.620
Cu3 Cu 0.620 0.620 0.869
Cu4 Cu 0.380 0.131 0.380
Cu5 Cu 0.380 0.380 0.131
Cu6 Cu 0.131 0.380 0.380
Cu7 Cu 0.111 0.500 0.889
Cu8 Cu 0.500 0.889 0.111
Cu9 Cu 0.111 0.889 0.500
Cu10 Cu 0.889 0.500 0.111
Cu11 Cu 0.500 0.111 0.889
Cu12 Cu 0.620 0.869 0.620
```

* symmetry: No. 166
* energy of formation: 45 meV per atom

---

# 2
First-principles (PBE) data for Pm5Ho2Mg after structural relaxation, as listed in Alexandria via LeMat-Bulk.

```
data_Pm5Ho2Mg
_cell_length_a 7.163
_cell_length_b 7.163
_cell_length_c 7.109
_cell_angle_alpha 120.25
_cell_angle_beta 120.25
_cell_angle_gamma 90.02
_symmetry_space_group_name_H-M 'P 1'
_symmetry_Int_Tables_number 1
_symmetry_space_group_name_Hall 'P 1'
loop_
_atom_site_label
_atom_site_type_symbol
_atom_site_fract_x
_atom_site_fract_y
_atom_site_fract_z
Pm1 Pm 0.722 0.222 0.944
Pm2 Pm 0.222 0.222 0.944
Pm3 Pm 0.722 0.722 0.944
Pm4 Pm 0.222 0.722 0.944
Pm5 Pm 0.722 0.722 0.444
Ho1 Ho 0.222 0.722 0.444
Ho2 Ho 0.722 0.222 0.444
Mg1 Mg 0.222 0.222 0.444
```

* symmetry: No. 139
* energy of formation: 10 meV per atom

---

# 3
First-principles (PBE) data for BTeN2F after structural relaxation, as listed in Alexandria via LeMat-Bulk.

```
data_BTeN2F
_cell_length_a 3.832
_cell_length_b 3.832
_cell_length_c 4.933
_cell_angle_alpha 90.00
_cell_angle_beta 90.00
_cell_angle_gamma 90.00
_symmetry_space_group_name_H-M 'P 1'
_symmetry_Int_Tables_number 1
_symmetry_space_group_name_Hall 'P 1'
loop_
_atom_site_label
_atom_site_type_symbol
_atom_site_fract_x
_atom_site_fract_y
_atom_site_fract_z
N1 N 0.000 0.500 0.000
N2 N 0.500 0.000 0.000
Te1 Te 0.000 0.000 0.500
B1 B 0.500 0.500 0.500
F1 F 0.000 0.000 0.000
```

* symmetry: No. 123
* energy relative to the elements, uncorrected: 2641 meV per atom

---

# 4
First-principles (PBE) data for NpAg6Cl12 after structural relaxation, as listed in Alexandria via LeMat-Bulk.

```
data_NpAg6Cl12
_cell_length_a 7.968
_cell_length_b 7.968
_cell_length_c 7.968
_cell_angle_alpha 95.46
_cell_angle_beta 95.46
_cell_angle_gamma 95.46
_symmetry_space_group_name_H-M 'P 1'
_symmetry_Int_Tables_number 1
_symmetry_space_group_name_Hall 'P 1'
loop_
_atom_site_label
_atom_site_type_symbol
_atom_site_fract_x
_atom_site_fract_y
_atom_site_fract_z
Np1 Np 0.000 0.000 0.000
Ag1 Ag 0.153 0.379 0.630
Ag2 Ag 0.621 0.370 0.847
Ag3 Ag 0.370 0.847 0.621
Ag4 Ag 0.847 0.621 0.370
Ag5 Ag 0.379 0.630 0.153
Ag6 Ag 0.630 0.153 0.379
Cl1 Cl 0.388 0.174 0.589
Cl2 Cl 0.174 0.589 0.388
Cl3 Cl 0.589 0.388 0.174
Cl4 Cl 0.612 0.826 0.411
Cl5 Cl 0.826 0.411 0.612
Cl6 Cl 0.411 0.612 0.826
Cl7 Cl 0.048 0.893 0.703
Cl8 Cl 0.297 0.952 0.107
Cl9 Cl 0.107 0.297 0.952
Cl10 Cl 0.952 0.107 0.297
Cl11 Cl 0.703 0.048 0.893
Cl12 Cl 0.893 0.703 0.048
```

* symmetry: No. 148
* energy relative to the elements, uncorrected: -736 meV per atom